This record from Alexandria via LeMat-Bulk describes crystalline KPr2Dy3Te6 at its relaxed geometry. The functional is PBE.

Cell lengths 19.7388, 4.4109, 9.1581 Å; angles 90.00, 104.85, 90.00 degrees
Space group C2/m (No. 12)
Symmetry-distinct sites (fractional):
K (0.0000, 0.0000, 0.0000) [2 per cell]
Pr (0.1727, 0.5000, 0.3491) [4 per cell]
Dy (0.0000, 0.0000, 0.5000) [2 per cell]
Dy (0.1644, 0.5000, 0.8258) [4 per cell]
Te (0.9996, 0.5000, 0.2671) [4 per cell]
Te (0.1612, 0.0000, 0.5934) [4 per cell]
Te (0.1737, 0.0000, 0.0782) [4 per cell]

Results
Raw total energy: -4.97 eV per atom
Size of the total moment: 0.00 Bohr magnetons per cell